Record 1
Entry from Alexandria: an optimized crystal structure of SiIr2Br (PBE).

Cell lengths 5.2992, 5.2992, 5.2992 Å; angles 148.90, 119.45, 69.64 degrees
Closest atoms and distances in Å follow each position.
Positions (direct):
Ir 0.5278 0.5278 0.0000  2 Si 2.40
Br 0.2500 0.7500 0.5000  4 Ir 2.80, 2 Br 2.84, 4 Si 3.03
Ir 0.9722 0.9722 0.0000  2 Si 2.40
Si 0.7500 0.2500 0.5000  4 Ir 2.40

For the offset from the most stable computed form, the calculation gives 491 meV/atom. The total energy is -5.764 eV per atom. The calculation puts the uncorrected formation energy at 0.44 eV/atom.

=====

Record 2
Entry from Alexandria: an optimized crystal structure of Cr2Pb (PBE).

Cell lengths 7.2247, 7.2247, 7.2247 Å; angles 148.26, 148.26, 45.50 degrees
Closest atoms and distances in Å follow each position.
Positions (direct):
Pb 0.2500 0.7500 0.5000  12 Cr 2.96-3.01
Cr 0.9154 0.9154 0.0000  3 Cr 2.25
Cr 0.8346 0.3346 0.5000  3 Cr 2.25
Pb 0.5000 0.5000 0.0000  12 Cr 2.96-3.01
Cr 0.0846 0.0846 0.0000  3 Cr 2.25
Cr 0.6654 0.1654 0.5000  3 Cr 2.25

For the offset from the most stable computed form, the calculation gives 545 meV/atom. The total energy is -6.676 eV per atom. The formation energy is 94 kJ per mole of atoms.

=====

Record 3
Entry from Alexandria: an optimized crystal structure of TaSiCl2 (PBE).

Cell lengths 4.9433, 4.9433, 4.9433 Å; angles 129.76, 129.76, 73.79 degrees
Closest atoms and distances in Å follow each position.
Positions (direct):
Si 0.5000 0.5000 0.0000  8 Cl 2.88-2.97, 4 Ta 2.88
Cl 0.2500 0.7500 0.5000  4 Si 2.88, 4 Cl 2.88, 4 Ta 2.97
Ta 0.7500 0.2500 0.5000  8 Cl 2.88-2.97, 4 Si 2.88
Cl 0.0000 0.0000 0.0000  4 Ta 2.88, 4 Cl 2.88, 4 Si 2.97

For the offset from the most stable computed form, the calculation gives 1039 meV/atom. The total energy is -4.685 eV per atom. The calculation puts the uncorrected formation energy at 0.56 eV/atom.

=====

Record 4
Entry from Alexandria: an optimized crystal structure of NdHoIrPd (PBE).

Cell lengths 4.9730, 4.9730, 4.9730 Å; angles 60.00, 60.00, 60.00 degrees
Closest atoms and distances in Å follow each position.
Positions (direct):
Ho 0.7500 0.7500 0.7500  4 Pd 3.05, 4 Ir 3.05
Ir 0.5000 0.5000 0.5000  4 Nd 3.05, 4 Ho 3.05
Nd 0.2500 0.2500 0.2500  4 Ir 3.05, 4 Pd 3.05
Pd 0.0000 0.0000 0.0000  4 Ho 3.05, 4 Nd 3.05

The total energy is -6.640 eV per atom. The formation energy is -76 kJ per mole of atoms.

=====

Record 5
Entry from Alexandria: an optimized crystal structure of Co5Tc (PBE).

Cell lengths 2.5452, 6.7367, 4.0700 Å; angles 90.00, 90.00, 79.11 degrees
Closest atoms and distances in Å follow each position.
Positions (direct):
Co 0.2174 0.5652 0.5000  10 Co 2.44-2.55, 2 Tc 2.61
Tc 0.8897 0.2205 0.5000  10 Co 2.53-2.61, 2 Tc 2.55
Co 0.3293 0.3415 0.0000  8 Co 2.49-2.63, 4 Tc 2.53
Co 0.6674 0.6652 0.0000  12 Co 2.48-2.55
Co 0.0031 0.9938 0.0000  10 Co 2.51-2.63, 2 Tc 2.53
Co 0.5598 0.8805 0.5000  10 Co 2.44-2.55, 2 Tc 2.58

For the offset from the most stable computed form, the calculation gives 3 meV/atom. The total energy is -7.590 eV per atom. The formation energy is 6 kJ per mole of atoms.

=====

Record 6
Entry from Alexandria: an optimized crystal structure of AlTcOs (PBE).

Cell lengths 4.6536, 4.6536, 4.6536 Å; angles 144.57, 132.05, 61.01 degrees
Closest atoms and distances in Å follow each position.
Positions (direct):
Os 0.3330 0.3330 0.0000  5 Al 2.68-2.71, 5 Tc 2.69-2.71, 2 Os 2.83
Al 0.9988 0.9988 0.0000  5 Tc 2.65-2.72, 5 Os 2.68-2.71, 2 Al 2.83
Tc 0.6682 0.6682 0.0000  5 Al 2.65-2.72, 5 Os 2.69-2.71, 2 Tc 2.83

For the offset from the most stable computed form, the calculation gives 153 meV/atom. The total energy is -8.622 eV per atom. The formation energy is -17 kJ per mole of atoms.

=====

no.,Fermi-level density of states (states/eV/f.u.)
1,2.234
2,3.637
3,3.136
4,2.620
5,8.029
6,2.071